A relaxed structure of KBa2Mn, computed with GGA-PBE.

Properties
Calculated formation energy   0.941 eV/atom

a = 8.5998 Å, b = 8.5998 Å, c = 12.1224 Å
α = 90.00°, β = 90.00°, γ = 90.00°
Last column: nearest neighbours and their distance in Å.
Space group I-42d (No. 122)
Symmetry-distinct sites (fractional):
K1 0.0000 0.0000 0.0000  12 Ba 4.95-5.13, 4 Mn 5.26, 4 K 5.26
Ba1 0.0126 0.2500 0.6250  2 Mn 2.63
Mn1 0.0000 0.0000 0.5000  4 Ba 2.63

***

A relaxed structure of K4Rb5Na, computed with GGA-PBE.

Properties
Calculated formation energy   0.050 eV/atom

a = 14.2568 Å, b = 14.2568 Å, c = 7.9158 Å
α = 90.00°, β = 90.00°, γ = 90.00°
Last column: nearest neighbours and their distance in Å.
Space group I4 (No. 79)
Symmetry-distinct sites (fractional):
K1 0.0036 0.6638 0.0000  4 Rb 4.51-4.98, 1 K 4.67
Rb1 0.0000 0.0000 0.1708  1 Na 3.64
Rb2 0.1792 0.8122 0.5293  1 Na 3.97
Na1 0.0000 0.0000 0.7104  5 Rb 3.64-3.97

***

A relaxed structure of P2O, computed with GGA-PBE.

a = 3.0456 Å, b = 3.2883 Å, c = 5.7920 Å
α = 90.00°, β = 91.84°, γ = 90.00°
Last column: nearest neighbours and their distance in Å.
Space group Pm (No. 6)
Symmetry-distinct sites (fractional):
P1 0.0000 0.0000 0.0000  1 O 1.56
P2 0.0076 0.5000 0.7522  2 P 2.18
O1 0.6061 0.0000 0.1656  1 P 1.56

***

A relaxed structure of Mg4Si3, computed with GGA-PBE.

a = 6.9848 Å, b = 7.1964 Å, c = 11.4066 Å
α = 89.84°, β = 86.24°, γ = 72.21°
Last column: nearest neighbours and their distance in Å.
Space group P1 (No. 1)
Symmetry-distinct sites (fractional):
Mg1 0.0000 0.0000 0.0000  4 Si 2.79-2.99, 1 Mg 3.04
Mg2 0.0024 0.2841 0.5936  4 Si 2.75-2.84, 2 Mg 2.97-3.04
Mg3 0.1470 0.6519 0.1914  5 Si 2.74-3.05
Mg4 0.2222 0.6175 0.4997  4 Si 2.73-2.91
Mg5 0.2430 0.8917 0.7083  4 Si 2.78-2.94, 1 Mg 3.06
Mg6 0.2679 0.0793 0.1953  3 Si 2.68-2.73, 1 Mg 2.99
Mg7 0.4054 0.3332 0.6997  5 Si 2.74-2.83
Mg8 0.4290 0.0222 0.4677  4 Si 2.73-2.97
Mg9 0.4619 0.9959 0.9197  5 Si 2.86-3.05, 3 Mg 3.10-3.15
Mg10 0.5305 0.3557 0.0445  3 Si 2.70-2.74, 1 Mg 3.01
Mg11 0.6361 0.6280 0.5873  3 Si 2.73-2.76, 2 Mg 2.97-2.98
Mg12 0.7167 0.9513 0.2032  4 Si 2.82-2.99, 4 Mg 2.99-3.11
Mg13 0.7784 0.9633 0.6495  3 Si 2.78-2.84, 1 Mg 2.98
Mg14 0.8314 0.6404 0.9658  5 Si 2.69-2.96
Mg15 0.8348 0.4081 0.2057  6 Si 2.74-3.04, 1 Mg 3.01
Mg16 0.9865 0.0111 0.3944  3 Si 2.75-2.89, 2 Mg 3.04
Si1 0.0212 0.6061 0.7242  2 Si 2.50-2.77, 3 Mg 2.78-2.80
Si2 0.0845 0.2471 0.8291  2 Si 2.43-2.46
Si3 0.1201 0.3523 0.3667  2 Si 2.52-2.57, 4 Mg 2.70-2.75
Si4 0.1517 0.3440 0.0222  2 Si 2.43-2.66, 2 Mg 2.69-2.70
Si5 0.2116 0.6372 0.8978  3 Si 2.43-2.66, 1 Mg 2.71
Si6 0.4813 0.3298 0.3090  3 Si 2.43-2.72
Si7 0.4923 0.7283 0.1086  1 Si 2.46, 4 Mg 2.68-2.74
Si8 0.4929 0.7027 0.3239  3 Si 2.46-2.72, 1 Mg 2.73
Si9 0.5569 0.5925 0.8240  2 Si 2.43-2.53, 1 Mg 2.69
Si10 0.6430 0.2774 0.4938  1 Si 2.43
Si11 0.7380 0.2308 0.8331  2 Si 2.46-2.53, 1 Mg 2.74
Si12 0.8468 0.6858 0.3849  2 Si 2.57-2.58, 3 Mg 2.76-2.82

***

Number 1: N(E_F) 5.54 states/eV/f.u., distance to the lowest polymorph of the same formula 2.36 eV per formula unit. Number 2: N(E_F) 7.19 states/eV/f.u., distance to the lowest polymorph of the same formula 0.36 eV per formula unit. Number 3: N(E_F) 0.18 states/eV/f.u., distance to the lowest polymorph of the same formula 0.60 eV per formula unit. Number 4: N(E_F) 1.99 states/eV/f.u., distance to the lowest polymorph of the same formula 0.66 eV per formula unit.